Entry 1:
## GdMgTlPt (GGA-PBE)

Data for a relaxed GdMgTlPt crystal.

Cell and atoms, written as extended XYZ:
```
4
Lattice="0.0000 3.5303 3.5303 3.5303 0.0000 3.5303 3.5303 3.5303 0.0000" Properties=species:S:1:pos:R:3 pbc="T T T"
Gd 0.0000 0.0000 0.0000
Mg 3.5303 3.5303 3.5303
Tl 5.2954 5.2954 5.2954
Pt 1.7651 1.7651 1.7651
```

Summary:
- Space-group type: No. 216
- Calculated density: 10.965 g/cm³
- N(E_F): 1.7 states/eV/f.u.
- Formation energy: -0.586 eV/atom
- Size of the total moment: 7.14 μB per formula unit

***

Entry 2:
## KNa2NiGe (GGA-PBE)

Data for a relaxed KNa2NiGe crystal.

Cell and atoms, written as extended XYZ:
```
5
Lattice="5.4941 0.0000 0.0000 0.0000 5.4941 0.0000 0.0000 0.0000 4.5275" Properties=species:S:1:pos:R:3 pbc="T T T"
K 0.0000 0.0000 0.0000
Na 0.0000 2.7471 2.2638
Na 2.7471 0.0000 2.2638
Ni 2.7471 2.7471 2.2638
Ge 2.7471 2.7471 0.0000
```

Summary:
- Space-group type: No. 123
- Calculated density: 2.629 g/cm³
- N(E_F): 1.1 states/eV/f.u.
- Formation energy: 0.010 eV/atom
- Size of the total moment: 0.00 μB per formula unit

***

Entry 3:
## LaReMo2 (GGA-PBE)

Data for a relaxed LaReMo2 crystal.

Cell and atoms, written as extended XYZ:
```
4
Lattice="1.5975 -2.3820 0.0000 1.5975 2.3820 0.0000 0.0000 0.0000 9.6466" Properties=species:S:1:pos:R:3 pbc="T T T"
La 0.0000 0.0000 0.0000
Re 1.5975 0.0000 2.6747
Mo 0.0000 0.0000 4.7685
Mo 1.5975 0.0000 6.8743
```

Summary:
- Space-group type: No. 35
- Calculated density: 11.694 g/cm³
- N(E_F): 3.2 states/eV/f.u.
- Formation energy: 0.425 eV/atom
- Size of the total moment: 0.00 μB per formula unit
- Energy above the most stable polymorph in this dataset: 0.042 eV/atom

***

Entry 4:
## Ca2Te2Pb (GGA-PBE)

Data for a relaxed Ca2Te2Pb crystal.

Cell and atoms, written as extended XYZ:
```
10
Lattice="8.7902 0.0000 0.0000 0.0000 8.7902 0.0000 0.0000 0.0000 4.0852" Properties=species:S:1:pos:R:3 pbc="T T T"
Ca 1.3441 3.0510 0.0000
Ca 3.0510 7.4461 0.0000
Ca 5.7392 1.3441 0.0000
Ca 7.4461 5.7392 0.0000
Te 1.3271 5.7222 2.0426
Te 3.0680 1.3271 2.0426
Te 5.7222 7.4630 2.0426
Te 7.4630 3.0680 2.0426
Pb 0.0000 0.0000 2.0426
Pb 4.3951 4.3951 2.0426
```

Summary:
- Space-group type: No. 127
- Calculated density: 5.708 g/cm³
- N(E_F): 2.2 states/eV/f.u.
- Formation energy without anion corrections: -1.0111 eV/atom
- Size of the total moment: 0.00 μB per formula unit
- Energy above the most stable polymorph in this dataset: 0.000 eV/atom

***

Entry 5:
## BaMgW2 (GGA-PBE)

Data for a relaxed BaMgW2 crystal.

Cell and atoms, written as extended XYZ:
```
4
Lattice="3.1472 0.0000 0.0000 0.0000 5.1264 0.0000 -1.0778 0.0000 6.5434" Properties=species:S:1:pos:R:3 pbc="T T T"
Ba 0.0000 0.0000 0.0000
Mg 1.0347 0.0000 3.2717
W 0.2415 2.5632 4.2065
W 1.8279 2.5632 2.3368
```

Summary:
- Space-group type: No. 10
- Calculated density: 8.326 g/cm³
- N(E_F): 3.4 states/eV/f.u.
- Formation energy: 0.982 eV/atom
- Size of the total moment: 0.00 μB per formula unit

***

Entry 6:
## TaCu2P (GGA-PBE)

Data for a relaxed TaCu2P crystal.

Cell and atoms, written as extended XYZ:
```
4
Lattice="4.5009 -1.4235 0.0000 4.5009 1.4235 0.0000 -1.8247 0.0000 4.4256" Properties=species:S:1:pos:R:3 pbc="T T T"
Ta 0.0000 0.0000 0.0000
Cu 4.0204 0.0000 2.3604
Cu 6.4679 0.0000 1.6392
P 0.5952 0.0000 4.0857
```

Summary:
- Space-group type: No. 8
- Calculated density: 9.927 g/cm³
- N(E_F): 1.7 states/eV/f.u.
- Formation energy: -0.024 eV/atom
- Size of the total moment: 0.00 μB per formula unit

***

Entry 7:
## Sb2WCl (GGA-PBE)

Data for a relaxed Sb2WCl crystal.

Cell and atoms, written as extended XYZ:
```
4
Lattice="1.4971 -2.8480 0.0000 1.4971 2.8480 0.0000 0.0000 0.0000 12.2188" Properties=species:S:1:pos:R:3 pbc="T T T"
Sb 0.0000 0.0000 0.0000
Sb 1.4971 0.0000 3.7793
W 1.4971 0.0000 9.7696
Cl 0.0000 0.0000 7.8692
```

Summary:
- Space-group type: No. 35
- Calculated density: 7.375 g/cm³
- N(E_F): 3.2 states/eV/f.u.
- Formation energy without anion corrections: 0.4027 eV/atom
- Size of the total moment: 0.47 μB per formula unit
- Energy above the most stable polymorph in this dataset: 0.234 eV/atom

***

Entry 8:
## RbSnOs3 (GGA-PBE)

Data for a relaxed RbSnOs3 crystal.

Cell and atoms, written as extended XYZ:
```
5
Lattice="4.8694 0.0000 0.0000 0.0000 4.8694 0.0000 0.0000 0.0000 4.8694" Properties=species:S:1:pos:R:3 pbc="T T T"
Rb 0.0000 0.0000 0.0000
Sn 2.4347 2.4347 2.4347
Os 0.0000 0.0000 2.4347
Os 0.0000 2.4347 0.0000
Os 2.4347 0.0000 0.0000
```

Summary:
- Space-group type: No. 221
- Calculated density: 11.144 g/cm³
- N(E_F): 7.0 states/eV/f.u.
- Formation energy: 3.817 eV/atom
- Size of the total moment: 4.77 μB per formula unit
- Energy above the most stable polymorph in this dataset: 1.334 eV/atom